Entry 1:
Pr3Zn2GaNi6 | PBE | relaxed

Cell: 5.3960 5.3960 8.4115 Å, 90.00 90.00 120.00°
Fractional coordinates of all 12 atoms:
1 Pr 0.3333 0.6667 0.6239
2 Pr 0.6667 0.3333 0.3761
3 Pr 0.0000 0.0000 0.0000
4 Zn 0.6667 0.3333 0.9713
5 Zn 0.3333 0.6667 0.0287
6 Ga 0.0000 0.0000 0.5000
7 Ni 0.6433 0.8216 0.2791
8 Ni 0.1784 0.3567 0.2791
9 Ni 0.1784 0.8216 0.2791
10 Ni 0.8216 0.6433 0.7209
11 Ni 0.3567 0.1784 0.7209
12 Ni 0.8216 0.1784 0.7209

Results
- Total moment: 0.0 μB/f.u.
- ΔH_f (0 K): -0.2721 eV/atom
- Volume: 212 Å³/cell
- Space group: P-3m1, No. 164


Entry 2:
Na20Zn7Sn12 | PBE | relaxed

Cell: 9.3765 9.3765 28.0157 Å, 78.79 78.79 59.49°
Fractional coordinates of all 78 atoms:
1 Na 0.8574 0.0906 0.0615
2 Na 0.1426 0.9094 0.9385
3 Na 0.9094 0.1426 0.4385
4 Na 0.0906 0.8574 0.5615
5 Na 0.5271 0.9026 0.9414
6 Na 0.4729 0.0974 0.0586
7 Na 0.0974 0.4729 0.5586
8 Na 0.9026 0.5271 0.4414
9 Na 0.6286 0.0627 0.6052
10 Na 0.3714 0.9373 0.3948
11 Na 0.9373 0.3714 0.8948
12 Na 0.0627 0.6286 0.1052
13 Na 0.4936 0.6915 0.5000
14 Na 0.5064 0.3085 0.5000
15 Na 0.3085 0.5064 0.0000
16 Na 0.6915 0.4936 0.0000
17 Na 0.2728 0.7002 0.6867
18 Na 0.7272 0.2998 0.3133
19 Na 0.2998 0.7272 0.8133
20 Na 0.7002 0.2728 0.1867
21 Na 0.3068 0.0974 0.8122
22 Na 0.6932 0.9026 0.1878
23 Na 0.9026 0.6932 0.6878
24 Na 0.0974 0.3068 0.3122
25 Na 0.7034 0.1711 0.9399
26 Na 0.2966 0.8289 0.0601
27 Na 0.8289 0.2966 0.5601
28 Na 0.1711 0.7034 0.4399
29 Na 0.6327 0.6808 0.6049
30 Na 0.3673 0.3192 0.3951
31 Na 0.3192 0.3673 0.8951
32 Na 0.6808 0.6327 0.1049
33 Na 0.6826 0.7294 0.8139
34 Na 0.3174 0.2706 0.1861
35 Na 0.2706 0.3174 0.6861
36 Na 0.7294 0.6826 0.3139
37 Na 0.2582 0.0516 0.6037
38 Na 0.7418 0.9484 0.3963
39 Na 0.9484 0.7418 0.8963
40 Na 0.0516 0.2582 0.1037
41 Zn 0.6084 0.3346 0.6665
42 Zn 0.3916 0.6654 0.3335
43 Zn 0.6654 0.3916 0.8335
44 Zn 0.3346 0.6084 0.1665
45 Zn 0.6397 0.0447 0.7309
46 Zn 0.3603 0.9553 0.2691
47 Zn 0.9553 0.3603 0.7691
48 Zn 0.0447 0.6397 0.2309
49 Zn 0.5000 0.0000 0.5000
50 Zn 0.0000 0.5000 0.0000
51 Zn 0.1116 0.0590 0.7322
52 Zn 0.8884 0.9410 0.2678
53 Zn 0.9410 0.8884 0.7678
54 Zn 0.0590 0.1116 0.2322
55 Sn 0.6540 0.0696 0.8359
56 Sn 0.3460 0.9304 0.1641
57 Sn 0.9304 0.3460 0.6641
58 Sn 0.0696 0.6540 0.3359
59 Sn 0.9194 0.0309 0.6680
60 Sn 0.0806 0.9691 0.3320
61 Sn 0.9691 0.0806 0.8320
62 Sn 0.0309 0.9194 0.1680
63 Sn 0.4121 0.4904 0.5944
64 Sn 0.5879 0.5096 0.4056
65 Sn 0.5096 0.5879 0.9056
66 Sn 0.4904 0.4121 0.0944
67 Sn 0.8147 0.8398 0.5106
68 Sn 0.1853 0.1602 0.4894
69 Sn 0.1602 0.1853 0.9894
70 Sn 0.8398 0.8147 0.0106
71 Sn 0.4599 0.9123 0.7043
72 Sn 0.5401 0.0877 0.2957
73 Sn 0.0877 0.5401 0.7957
74 Sn 0.9123 0.4599 0.2043
75 Sn 0.4558 0.3577 0.7659
76 Sn 0.5442 0.6423 0.2341
77 Sn 0.6423 0.5442 0.7341
78 Sn 0.3577 0.4558 0.2659

Results
- Total moment: 0.0 μB/f.u.
- ΔH_f (0 K): -0.1821 eV/atom
- Volume: 2068 Å³/cell
- Space group: C2/c, No. 15


Entry 3:
YPtW | PBE | relaxed

Cell: 3.3139 4.3911 8.2512 Å, 90.00 91.59 90.00°
Fractional coordinates of all 6 atoms:
1 Y 0.0211 0.2500 0.7119
2 Y 0.9789 0.7500 0.2881
3 W 0.3674 0.2500 0.0628
4 W 0.6326 0.7500 0.9372
5 Pt 0.4921 0.2500 0.3894
6 Pt 0.5079 0.7500 0.6106

Results
- Total moment: 0.0 μB/f.u.
- ΔH_f (0 K): -0.3318 eV/atom
- Volume: 120 Å³/cell
- Space group: P2_1/m, No. 11


Entry 4:
Sm2HoEr4 | PBE | relaxed

Cell: 6.0472 6.5722 11.5786 Å, 90.00 105.18 90.00°
Fractional coordinates of all 14 atoms:
1 Sm 0.6083 0.7500 0.0074
2 Sm 0.3917 0.2500 0.9926
3 Sm 0.2933 0.2500 0.4462
4 Sm 0.7067 0.7500 0.5538
5 Ho 0.1649 0.7500 0.1409
6 Ho 0.8351 0.2500 0.8591
7 Er 0.6335 0.4960 0.2889
8 Er 0.9860 0.7500 0.8376
9 Er 0.0140 0.2500 0.1624
10 Er 0.6335 0.0040 0.2889
11 Er 0.8592 0.2500 0.5749
12 Er 0.3665 0.9960 0.7111
13 Er 0.3665 0.5040 0.7111
14 Er 0.1408 0.7500 0.4251

Results
- Total moment: 0.0 μB/f.u.
- Energy relative to the lowest polymorph listed for this composition: 0.089 eV/atom
- ΔH_f (0 K): 0.1384 eV/atom
- Volume: 444 Å³/cell
- Space group: P2_1/m, No. 11


Entry 5:
BaScTa2 | PBE | relaxed

Cell: 6.0381 6.0381 2.9712 Å, 89.89 89.89 120.04°
Fractional coordinates of all 4 atoms:
1 Ba 0.5000 0.0000 0.5000
2 Sc 0.0000 0.5000 0.5000
3 Ta 0.0000 0.0000 0.0000
4 Ta 0.5000 0.5000 0.0000

Results
- Total moment: 0.0 μB/f.u.
- Energy relative to the lowest polymorph listed for this composition: 0.510 eV/atom
- ΔH_f (0 K): 0.9406 eV/atom
- Volume: 94 Å³/cell
- Space group: C2/m, No. 12


Entry 6:
Cr2WSe | PBE | relaxed

Cell: 7.8101 7.8101 7.8101 Å, 22.51 22.51 22.51°
Fractional coordinates of all 4 atoms:
1 Cr 0.9999 0.9999 0.9999
2 Cr 0.5001 0.5001 0.5001
3 Se 0.2500 0.2500 0.2500
4 W 0.7500 0.7500 0.7500

Results
- Total moment: 3.5 μB/f.u.
- Formation energy (no corrections): 0.362 eV/atom
- Volume: 61 Å³/cell
- Space group: R-3m, No. 166